(1)
# BePdAu

An optimized crystal structure of BePdAu (PBE-GGA, the Alexandria database).

Cell and atoms, written as CIF:
```
data_BePdAu
_chemical_formula_sum 'Be4 Pd4 Au4'
_space_group_name_H-M_alt 'P n m a'
_space_group_IT_number 62
_cell_length_a 5.920
_cell_length_b 3.782
_cell_length_c 7.395
_cell_angle_alpha 90.00
_cell_angle_beta 90.00
_cell_angle_gamma 90.00
loop_
_space_group_symop_operation_xyz
'x,y,z'
'-x,-y,-z'
'-x+1/2,-y,z+1/2'
'x+1/2,y,-z+1/2'
'x+1/2,-y+1/2,-z+1/2'
'-x+1/2,y+1/2,z+1/2'
'-x,y+1/2,-z'
'x,-y+1/2,z'
loop_
_atom_site_label
_atom_site_type_symbol
_atom_site_fract_x
_atom_site_fract_y
_atom_site_fract_z
Be1 Be 0.229 0.250 0.118
Pd1 Pd 0.026 0.250 0.826
Au1 Au 0.153 0.250 0.432
```

Properties
Excess energy over the best structure of this formula in the dataset, meV per atom: 18
Formation energy from the elements, meV per atom: -330


(2)
# NiPb2W

An optimized crystal structure of NiPb2W (PBE-GGA, the Alexandria database).

Cell and atoms, written as CIF:
```
data_NiPb2W
_chemical_formula_sum 'Ni1 Pb2 W1'
_space_group_name_H-M_alt 'P 1 2/m 1'
_space_group_IT_number 10
_cell_length_a 3.475
_cell_length_b 3.484
_cell_length_c 6.389
_cell_angle_alpha 90.00
_cell_angle_beta 90.45
_cell_angle_gamma 90.00
loop_
_space_group_symop_operation_xyz
'x,y,z'
'-x,-y,-z'
'-x,y,-z'
'x,-y,z'
loop_
_atom_site_label
_atom_site_type_symbol
_atom_site_fract_x
_atom_site_fract_y
_atom_site_fract_z
Ni1 Ni 0.000 0.000 0.000
Pb1 Pb 0.497 0.500 0.245
W1 W 0.000 0.000 0.500
```

Properties
Excess energy over the best structure of this formula in the dataset, meV per atom: 471
Formation energy from the elements, meV per atom: 870


(3)
# VPdS

An optimized crystal structure of VPdS (PBE-GGA, the Alexandria database).

Cell and atoms, written as CIF:
```
data_VPdS
_chemical_formula_sum 'V16 Pd16 S16'
_space_group_name_H-M_alt 'F d d d'
_space_group_IT_number 70
_cell_length_a 3.947
_cell_length_b 9.270
_cell_length_c 20.074
_cell_angle_alpha 90.00
_cell_angle_beta 90.00
_cell_angle_gamma 90.00
loop_
_space_group_symop_operation_xyz
'x,y,z'
'-x,-y,-z'
'-x+1/4,-y+1/4,z'
'x+1/4,y+1/4,-z'
'x,-y+1/4,-z+1/4'
'-x,y+1/4,z+1/4'
'-x+1/4,y,-z+1/4'
'x+1/4,-y,z+1/4'
'x,y+1/2,z+1/2'
'-x,-y+1/2,-z+1/2'
'-x+1/4,-y+3/4,z+1/2'
'x+1/4,y+3/4,-z+1/2'
'x,-y+3/4,-z+3/4'
'-x,y+3/4,z+3/4'
'-x+1/4,y+1/2,-z+3/4'
'x+1/4,-y+1/2,z+3/4'
'x+1/2,y,z+1/2'
'-x+1/2,-y,-z+1/2'
'-x+3/4,-y+1/4,z+1/2'
'x+3/4,y+1/4,-z+1/2'
'x+1/2,-y+1/4,-z+3/4'
'-x+1/2,y+1/4,z+3/4'
'-x+3/4,y,-z+3/4'
'x+3/4,-y,z+3/4'
'x+1/2,y+1/2,z'
'-x+1/2,-y+1/2,-z'
'-x+3/4,-y+3/4,z'
'x+3/4,y+3/4,-z'
'x+1/2,-y+3/4,-z+1/4'
'-x+1/2,y+3/4,z+1/4'
'-x+3/4,y+1/2,-z+1/4'
'x+3/4,-y+1/2,z+1/4'
loop_
_atom_site_label
_atom_site_type_symbol
_atom_site_fract_x
_atom_site_fract_y
_atom_site_fract_z
V1 V 0.125 0.125 0.264
Pd1 Pd 0.125 0.272 0.125
S1 S 0.125 0.125 0.544
```

Properties
Excess energy over the best structure of this formula in the dataset, meV per atom: 74
Formation energy from raw total energies, eV per atom: -0.125


(4)
# Rb2TlGa

An optimized crystal structure of Rb2TlGa (PBE-GGA, the Alexandria database).

Cell and atoms, written as CIF:
```
data_Rb2TlGa
_chemical_formula_sum 'Rb4 Tl2 Ga2'
_space_group_name_H-M_alt 'C 1 2 1'
_space_group_IT_number 5
_cell_length_a 12.182
_cell_length_b 6.775
_cell_length_c 4.944
_cell_angle_alpha 90.00
_cell_angle_beta 113.65
_cell_angle_gamma 90.00
loop_
_space_group_symop_operation_xyz
'x,y,z'
'-x,y,-z'
'x+1/2,y+1/2,z'
'-x+1/2,y+1/2,-z'
loop_
_atom_site_label
_atom_site_type_symbol
_atom_site_fract_x
_atom_site_fract_y
_atom_site_fract_z
Rb1 Rb 0.184 0.000 0.185
Tl1 Tl 0.000 0.493 0.000
Ga1 Ga 0.000 0.661 0.500
```

Properties
Excess energy over the best structure of this formula in the dataset, meV per atom: 0
Formation energy from the elements, meV per atom: 2


(5)
# PmNdSmHo2

An optimized crystal structure of PmNdSmHo2 (PBE-GGA, the Alexandria database).

Cell and atoms, written as CIF:
```
data_PmNdSmHo2
_chemical_formula_sum 'Pm4 Nd4 Sm4 Ho8'
_space_group_name_H-M_alt 'C m c m'
_space_group_IT_number 63
_space_group_name_Hall '-C 2c 2'
_cell_length_a 8.453
_cell_length_b 11.614
_cell_length_c 7.177
_cell_angle_alpha 90.00
_cell_angle_beta 90.00
_cell_angle_gamma 90.00
loop_
_atom_site_label
_atom_site_type_symbol
_atom_site_fract_x
_atom_site_fract_y
_atom_site_fract_z
Pm1 Pm 0.000 0.000 0.250
Nd1 Nd 0.000 0.272 0.250
Sm1 Sm 0.000 0.274 0.750
Ho1 Ho 0.187 0.500 0.000
```

Properties
Formation energy from the elements, meV per atom: 366


(6)
# Nd4Pd2Au

An optimized crystal structure of Nd4Pd2Au (PBE-GGA, the Alexandria database).

Cell and atoms, written as CIF:
```
data_Nd4Pd2Au
_chemical_formula_sum 'Nd12 Pd6 Au3'
_space_group_name_H-M_alt 'R -3 m'
_space_group_IT_number 166
_space_group_name_Hall '-R 3 2"'
_cell_length_a 4.6122
_cell_length_b 4.6122
_cell_length_c 32.5007
_cell_angle_alpha 90.00
_cell_angle_beta 90.00
_cell_angle_gamma 120.00
loop_
_atom_site_label
_atom_site_type_symbol
_atom_site_fract_x
_atom_site_fract_y
_atom_site_fract_z
Nd1 Nd 0.0000 0.0000 0.1186
Nd2 Nd 0.0000 0.0000 0.2979
Pd1 Pd 0.0000 0.0000 0.4076
Au1 Au 0.0000 0.0000 0.5000
```

Properties
Formation energy from the elements, meV per atom: -556


(7)
# Ag7AuF2

An optimized crystal structure of Ag7AuF2 (PBE-GGA, the Alexandria database).

Cell and atoms, written as CIF:
```
data_Ag7AuF2
_chemical_formula_sum 'Ag7 Au1 F2'
_space_group_name_H-M_alt 'P 1 2/m 1'
_space_group_IT_number 10
_cell_length_a 7.444
_cell_length_b 2.960
_cell_length_c 8.500
_cell_angle_alpha 90.00
_cell_angle_beta 109.89
_cell_angle_gamma 90.00
loop_
_space_group_symop_operation_xyz
'x,y,z'
'-x,-y,-z'
'-x,y,-z'
'x,-y,z'
loop_
_atom_site_label
_atom_site_type_symbol
_atom_site_fract_x
_atom_site_fract_y
_atom_site_fract_z
Ag1 Ag 0.000 0.000 0.000
Ag2 Ag 0.148 0.000 0.352
Ag3 Ag 0.189 0.500 0.650
Ag4 Ag 0.414 0.000 0.186
Au1 Au 0.500 0.500 0.500
F1 F 0.302 0.000 0.892
```

Properties
Formation energy from raw total energies, eV per atom: -0.327


(8)
# BiPd4Au2

An optimized crystal structure of BiPd4Au2 (PBE-GGA, the Alexandria database).

Cell and atoms, written as CIF:
```
data_BiPd4Au2
_chemical_formula_sum 'Bi2 Pd8 Au4'
_space_group_name_H-M_alt 'I 4/m m m'
_space_group_IT_number 139
_space_group_name_Hall '-I 4 2'
_cell_length_a 6.800
_cell_length_b 6.800
_cell_length_c 5.789
_cell_angle_alpha 90.00
_cell_angle_beta 90.00
_cell_angle_gamma 90.00
loop_
_atom_site_label
_atom_site_type_symbol
_atom_site_fract_x
_atom_site_fract_y
_atom_site_fract_z
Bi1 Bi 0.000 0.000 0.000
Pd1 Pd 0.250 0.250 0.250
Au1 Au 0.000 0.500 0.000
```

Properties
Excess energy over the best structure of this formula in the dataset, meV per atom: 0
Formation energy from the elements, meV per atom: -49


(9)
# ErHfIn

An optimized crystal structure of ErHfIn (PBE-GGA, the Alexandria database).

Cell and atoms, written as CIF:
```
data_ErHfIn
_chemical_formula_sum 'Er4 Hf4 In4'
_space_group_name_H-M_alt 'C 1 2/m 1'
_space_group_IT_number 12
_cell_length_a 5.432
_cell_length_b 5.432
_cell_length_c 10.459
_cell_angle_alpha 90.00
_cell_angle_beta 90.08
_cell_angle_gamma 90.00
loop_
_space_group_symop_operation_xyz
'x,y,z'
'-x,-y,-z'
'-x,y,-z'
'x,-y,z'
'x+1/2,y+1/2,z'
'-x+1/2,-y+1/2,-z'
'-x+1/2,y+1/2,-z'
'x+1/2,-y+1/2,z'
loop_
_atom_site_label
_atom_site_type_symbol
_atom_site_fract_x
_atom_site_fract_y
_atom_site_fract_z
Er1 Er 0.249 0.000 0.259
Hf1 Hf 0.250 0.000 0.563
In1 In 0.249 0.500 0.074
```

Properties
Excess energy over the best structure of this formula in the dataset, meV per atom: 127
Formation energy from the elements, meV per atom: -54


(10)
# PmHf2Mn

An optimized crystal structure of PmHf2Mn (PBE-GGA, the Alexandria database).

Cell and atoms, written as CIF:
```
data_PmHf2Mn
_chemical_formula_sum 'Pm1 Hf2 Mn1'
_space_group_name_H-M_alt 'P 4/m m m'
_space_group_IT_number 123
_space_group_name_Hall '-P 4 2'
_cell_length_a 3.223
_cell_length_b 3.223
_cell_length_c 8.331
_cell_angle_alpha 90.00
_cell_angle_beta 90.00
_cell_angle_gamma 90.00
loop_
_atom_site_label
_atom_site_type_symbol
_atom_site_fract_x
_atom_site_fract_y
_atom_site_fract_z
Pm1 Pm 0.000 0.000 0.000
Hf1 Hf 0.500 0.500 0.321
Mn1 Mn 0.000 0.000 0.500
```

Properties
Formation energy from the elements, meV per atom: 44


(11)
# RbAg2Bi

An optimized crystal structure of RbAg2Bi (PBE-GGA, the Alexandria database).

Cell and atoms, written as CIF:
```
data_RbAg2Bi
_chemical_formula_sum 'Rb3 Ag6 Bi3'
_space_group_name_H-M_alt 'R -3 m'
_space_group_IT_number 166
_space_group_name_Hall '-R 3 2"'
_cell_length_a 5.0558
_cell_length_b 5.0558
_cell_length_c 18.8603
_cell_angle_alpha 90.00
_cell_angle_beta 90.00
_cell_angle_gamma 120.00
loop_
_atom_site_label
_atom_site_type_symbol
_atom_site_fract_x
_atom_site_fract_y
_atom_site_fract_z
Rb1 Rb 0.0000 0.0000 0.0000
Ag1 Ag 0.0000 0.0000 0.1874
Bi1 Bi 0.0000 0.0000 0.5000
```

Properties
Excess energy over the best structure of this formula in the dataset, meV per atom: 54
Formation energy from the elements, meV per atom: -78


Number 1: total energy -13.2 eV per formula unit. Number 2: total energy -22.7 eV per formula unit. Number 3: total energy -18.8 eV per formula unit. Number 4: total energy -7.3 eV per formula unit. Number 5: total energy -21.6 eV per formula unit. Number 6: total energy -36.6 eV per formula unit. Number 7: total energy -30.2 eV per formula unit. Number 8: total energy -31.6 eV per formula unit. Number 9: total energy -17.4 eV per formula unit. Number 10: total energy -33.7 eV per formula unit. Number 11: total energy -10.9 eV per formula unit.